[1]
Computed, not measured: an optimized crystal structure of LaAgPt3 at the GGA-PBE level of DFT.

* E_tot: -4.965 eV/atom
* DFT formation energy: 0.215 eV/atom
* distance to the lowest polymorph of the same formula: 0.0 meV per atom
* theoretical density: 11.54 g cm⁻³
* size of the total moment: 0.000 μB/atom
* V: 120 Å³ per cell

Lattice parameters (Å, degrees): 4.928 4.928 4.928 90.00 90.00 90.00
Fractional coordinates of all 5 atoms:
Pt: 0.000 0.000 0.500
Pt: 0.000 0.500 0.000
Pt: 0.500 0.000 0.000
La: 0.500 0.500 0.500
Ag: 0.000 0.000 0.000

[2]
Computed, not measured: an optimized crystal structure of La6Ag2Pt at the GGA-PBE level of DFT.

* E_tot: -4.912 eV/atom
* DFT formation energy: -0.323 eV/atom
* distance to the lowest polymorph of the same formula: 11.1 meV per atom
* theoretical density: 7.52 g cm⁻³
* size of the total moment: 0.000 μB/atom
* V: 550 Å³ per cell

Lattice parameters (Å, degrees): 8.940 8.940 8.940 71.62 70.74 110.78
Fractional coordinates of all 18 atoms:
Ag: 0.355 0.000 0.645
Ag: 0.645 0.000 0.355
Ag: 0.137 0.637 0.500
Ag: 0.863 0.363 0.500
La: 0.553 0.736 0.182
La: 0.660 0.938 0.722
La: 0.160 0.253 0.587
La: 0.160 0.747 0.093
La: 0.660 0.382 0.278
La: 0.840 0.747 0.413
La: 0.340 0.618 0.722
La: 0.447 0.264 0.818
La: 0.340 0.062 0.278
La: 0.082 0.264 0.182
La: 0.918 0.736 0.818
La: 0.840 0.253 0.907
Pt: 0.000 0.000 0.000
Pt: 0.500 0.500 0.000

[3]
Computed, not measured: an optimized crystal structure of La3Ag2Pt at the GGA-PBE level of DFT.

* E_tot: -4.973 eV/atom
* DFT formation energy: -0.552 eV/atom
* distance to the lowest polymorph of the same formula: 0.0 meV per atom
* theoretical density: 8.60 g cm⁻³
* size of the total moment: 0.000 μB/atom
* V: 320 Å³ per cell

Lattice parameters (Å, degrees): 5.252 8.403 7.624 90.00 90.00 71.79
Fractional coordinates of all 12 atoms:
La: 0.176 0.649 0.772
La: 0.500 0.000 0.244
La: 0.824 0.351 0.772
La: 0.824 0.351 0.228
La: 0.176 0.649 0.228
La: 0.500 0.000 0.756
Pt: 0.350 0.299 0.000
Pt: 0.650 0.701 0.000
Ag: 0.667 0.667 0.500
Ag: 0.000 0.000 0.500
Ag: 0.333 0.333 0.500
Ag: 0.000 0.000 0.000

[4]
Computed, not measured: an optimized crystal structure of La2AgPt at the GGA-PBE level of DFT.

* E_tot: -5.395 eV/atom
* DFT formation energy: -0.708 eV/atom
* theoretical density: 8.93 g cm⁻³
* size of the total moment: 0.000 μB/atom
* V: 108 Å³ per cell

Lattice parameters (Å, degrees): 4.755 4.020 5.982 70.77 90.00 90.00
Fractional coordinates of all 4 atoms:
Ag: 0.500 0.543 0.791
Pt: 0.000 0.712 0.449
La: 0.000 0.988 0.904
La: 0.500 0.257 0.356

[5]
Computed, not measured: an optimized crystal structure of LaAg3Pt at the GGA-PBE level of DFT.

* E_tot: -3.733 eV/atom
* DFT formation energy: 0.171 eV/atom
* distance to the lowest polymorph of the same formula: 0.0 meV per atom
* theoretical density: 8.29 g cm⁻³
* size of the total moment: 0.000 μB/atom
* V: 132 Å³ per cell

Lattice parameters (Å, degrees): 5.089 5.089 5.089 90.00 90.00 90.00
Fractional coordinates of all 5 atoms:
Pt: 0.000 0.000 0.000
Ag: 0.000 0.000 0.500
Ag: 0.500 0.000 0.000
Ag: 0.000 0.500 0.000
La: 0.500 0.500 0.500

[6]
Computed, not measured: an optimized crystal structure of La6Ag3Pt at the GGA-PBE level of DFT.

* E_tot: -4.716 eV/atom
* DFT formation energy: -0.300 eV/atom
* theoretical density: 6.86 g cm⁻³
* size of the total moment: 0.000 μB/atom
* V: 654 Å³ per cell

Lattice parameters (Å, degrees): 7.608 7.929 10.930 90.00 82.81 90.00
Fractional coordinates of all 20 atoms:
Pt: 0.000 0.000 0.000
Pt: 0.500 0.500 0.500
Ag: 0.500 0.500 0.000
Ag: 0.552 0.872 0.780
Ag: 0.052 0.628 0.280
Ag: 0.000 0.000 0.500
Ag: 0.948 0.372 0.720
Ag: 0.448 0.128 0.220
La: 0.194 0.330 0.430
La: 0.135 0.326 0.079
La: 0.694 0.170 0.930
La: 0.365 0.826 0.421
La: 0.806 0.670 0.570
La: 0.829 0.961 0.253
La: 0.635 0.174 0.579
La: 0.171 0.039 0.747
La: 0.671 0.461 0.247
La: 0.329 0.539 0.753
La: 0.306 0.830 0.070
La: 0.865 0.674 0.921

[7]
Computed, not measured: an optimized crystal structure of La6AgPt5 at the GGA-PBE level of DFT.

* E_tot: -6.188 eV/atom
* DFT formation energy: -0.969 eV/atom
* theoretical density: 10.44 g cm⁻³
* size of the total moment: 0.000 μB/atom
* V: 305 Å³ per cell

Lattice parameters (Å, degrees): 8.005 7.993 5.583 110.86 75.30 112.79
Fractional coordinates of all 12 atoms:
Pt: 0.500 0.500 0.500
Pt: 0.999 0.308 0.616
Pt: 0.001 0.692 0.384
Pt: 0.557 0.859 0.081
Pt: 0.443 0.141 0.919
Ag: 0.000 0.000 0.000
La: 0.726 0.918 0.543
La: 0.223 0.718 0.806
La: 0.777 0.282 0.194
La: 0.274 0.082 0.457
La: 0.734 0.551 0.862
La: 0.266 0.449 0.138

[8]
Computed, not measured: an optimized crystal structure of La4Ag3Pt at the GGA-PBE level of DFT.

* E_tot: -4.759 eV/atom
* DFT formation energy: -0.471 eV/atom
* theoretical density: 8.24 g cm⁻³
* size of the total moment: 0.000 μB/atom
* V: 216 Å³ per cell

Lattice parameters (Å, degrees): 3.771 3.771 15.217 90.00 90.00 90.00
Fractional coordinates of all 8 atoms:
La: 0.000 0.000 0.888
La: 0.000 0.000 0.112
La: 0.000 0.000 0.629
La: 0.000 0.000 0.371
Pt: 0.500 0.500 0.000
Ag: 0.500 0.500 0.500
Ag: 0.500 0.500 0.246
Ag: 0.500 0.500 0.754

[9]
Computed, not measured: an optimized crystal structure of La6Ag5Pt at the GGA-PBE level of DFT.

* E_tot: -4.562 eV/atom
* DFT formation energy: -0.407 eV/atom
* theoretical density: 7.96 g cm⁻³
* size of the total moment: 0.000 μB/atom
* V: 327 Å³ per cell

Lattice parameters (Å, degrees): 5.348 7.589 8.506 90.00 108.58 90.00
Fractional coordinates of all 12 atoms:
Ag: 0.327 0.500 0.657
Ag: 0.673 0.500 0.343
Ag: 0.683 0.000 0.362
Ag: 0.317 0.000 0.638
Ag: 0.000 0.500 0.000
La: 0.158 0.756 0.314
La: 0.158 0.244 0.314
La: 0.842 0.756 0.686
La: 0.842 0.244 0.686
La: 0.500 0.766 0.000
La: 0.500 0.234 0.000
Pt: 0.000 0.000 0.000

[10]
Computed, not measured: an optimized crystal structure of La2AgPt at the GGA-PBE level of DFT.

* E_tot: -5.262 eV/atom
* DFT formation energy: -0.576 eV/atom
* theoretical density: 8.90 g cm⁻³
* size of the total moment: 0.000 μB/atom
* V: 108 Å³ per cell

Lattice parameters (Å, degrees): 6.893 6.893 4.634 70.34 70.34 31.67
Fractional coordinates of all 4 atoms:
Ag: 0.194 0.194 0.306
La: 0.011 0.011 0.989
La: 0.795 0.795 0.705
Pt: 0.500 0.500 0.500